# 1
DFT (PBE) results for an optimized crystal structure of LiTb2Pm.

Lattice parameters (Å, degrees): 5.697 5.697 3.701 90.00 90.00 90.00
Space group P4/mmm (No. 123)
One atom of each set of equivalent atoms:
Li1 0.000 0.000 0.000 (multiplicity 1)
Tb1 0.000 0.500 0.500 (multiplicity 2)
Pm1 0.500 0.500 0.000 (multiplicity 1)

Properties
Formation energy from the elements ... 0.66 eV/f.u.
Raw total energy ... -15.27 eV for the cell shown
ΔE to the lowest computed polymorph ... 0.362 eV/f.u.
Magnetic moment ... 0.0 μB per formula unit

# 2
DFT (PBE) results for an optimized crystal structure of LiTb2Pm.

Lattice parameters (Å, degrees): 7.841 7.841 7.841 90.00 90.00 90.00
Space group Fm-3m (No. 225)
One atom of each set of equivalent atoms:
Li1 0.000 0.000 0.000 (multiplicity 4)
Tb1 0.250 0.250 0.250 (multiplicity 8)
Pm1 0.000 0.000 0.500 (multiplicity 4)

Properties
Formation energy from the elements ... 0.81 eV/f.u.
Raw total energy ... -60.47 eV for the cell shown
ΔE to the lowest computed polymorph ... 0.512 eV/f.u.
Magnetic moment ... 0.0 μB per formula unit

# 3
DFT (PBE) results for an optimized crystal structure of LiTb2Pm.

Lattice parameters (Å, degrees): 3.4909 3.4909 36.7998 90.00 90.00 120.00
Space group R-3m (No. 166, hexagonal axes)
One atom of each set of equivalent atoms:
Li1 0.0000 0.0000 0.0000 (multiplicity 3)
Tb1 0.0000 0.0000 0.0881 (multiplicity 6)
Pm1 0.0000 0.0000 0.5000 (multiplicity 3)

Properties
Formation energy from the elements ... 0.78 eV/f.u.
Raw total energy ... -45.44 eV for the cell shown
ΔE to the lowest computed polymorph ... 0.482 eV/f.u.
Magnetic moment ... 0.0 μB per formula unit

# 4
DFT (PBE) results for an optimized crystal structure of LiTb5Pm4.

Lattice parameters (Å, degrees): 3.622 3.622 24.141 90.00 90.00 90.00
Space group P4/mmm (No. 123)
One atom of each set of equivalent atoms:
Li1 0.000 0.000 0.000 (multiplicity 1)
Tb1 0.500 0.500 0.081 (multiplicity 2)
Tb2 0.500 0.500 0.289 (multiplicity 2)
Tb3 0.500 0.500 0.500 (multiplicity 1)
Pm1 0.000 0.000 0.184 (multiplicity 2)
Pm2 0.000 0.000 0.395 (multiplicity 2)

Properties
Formation energy from the elements ... 0.37 eV/f.u.
Raw total energy ... -43.70 eV for the cell shown
Magnetic moment ... 0.0 μB per formula unit

# 5
DFT (PBE) results for an optimized crystal structure of LiTbPm2.

Lattice parameters (Å, degrees): 3.5127 3.5127 37.1130 90.00 90.00 120.00
Space group R-3m (No. 166, hexagonal axes)
One atom of each set of equivalent atoms:
Li1 0.0000 0.0000 0.0000 (multiplicity 3)
Tb1 0.0000 0.0000 0.5000 (multiplicity 3)
Pm1 0.0000 0.0000 0.0888 (multiplicity 6)

Properties
Formation energy from the elements ... 0.66 eV/f.u.
Raw total energy ... -46.16 eV for the cell shown
ΔE to the lowest computed polymorph ... 0.396 eV/f.u.
Magnetic moment ... 0.0 μB per formula unit

# 6
DFT (PBE) results for an optimized crystal structure of LiTb2Pm.

Lattice parameters (Å, degrees): 3.5433 3.5433 33.8618 90.00 90.00 120.00
Space group R3m (No. 160, hexagonal axes)
One atom of each set of equivalent atoms:
Li1 0.0000 0.0000 0.0000 (multiplicity 3)
Tb1 0.0000 0.0000 0.4134 (multiplicity 3)
Tb2 0.0000 0.0000 0.5866 (multiplicity 3)
Pm1 0.0000 0.0000 0.1668 (multiplicity 3)

Properties
Formation energy from the elements ... 0.44 eV/f.u.
Raw total energy ... -46.46 eV for the cell shown
ΔE to the lowest computed polymorph ... 0.141 eV/f.u.
Magnetic moment ... 0.0 μB per formula unit